Entry from the Alexandria database: a geometry-optimized MnGeMoOs structure (PBE).

It has space group F-43m (No. 216), with a = 6.083 Å, b = 6.083 Å, c = 6.083 Å, α = 90.00°, β = 90.00° and γ = 90.00°. The inequivalent atoms are Mn at (0.000, 0.000, 0.000), Ge at (0.000, 0.000, 0.500), Mo at (0.250, 0.250, 0.250) and Os at (0.250, 0.250, 0.750).

***

Entry from the Alexandria database: a geometry-optimized MnGeMoPd structure (PBE).

It has space group F-43m (No. 216), with a = 6.162 Å, b = 6.162 Å, c = 6.162 Å, α = 90.00°, β = 90.00° and γ = 90.00°. The inequivalent atoms are Mn at (0.000, 0.000, 0.000), Ge at (0.000, 0.000, 0.500), Mo at (0.250, 0.250, 0.250) and Pd at (0.250, 0.250, 0.750).

***

Entry from the Alexandria database: a geometry-optimized MnReGeMo structure (PBE).

It has space group F-43m (No. 216), with a = 6.106 Å, b = 6.106 Å, c = 6.106 Å, α = 90.00°, β = 90.00° and γ = 90.00°. The inequivalent atoms are Mn at (0.000, 0.000, 0.000), Re at (0.250, 0.250, 0.250), Ge at (0.000, 0.000, 0.500) and Mo at (0.250, 0.250, 0.750).

***

Entry from the Alexandria database: a geometry-optimized MnGeMoRu structure (PBE).

It has space group F-43m (No. 216), with a = 6.077 Å, b = 6.077 Å, c = 6.077 Å, α = 90.00°, β = 90.00° and γ = 90.00°. The inequivalent atoms are Mn at (0.000, 0.000, 0.000), Ge at (0.000, 0.000, 0.500), Mo at (0.250, 0.250, 0.250) and Ru at (0.250, 0.250, 0.750).

***

no.,V (A^3/atom),E_tot (eV per cell)
1,14.07,-143.5
2,14.62,-120.8
3,14.23,-147.3
4,14.03,-137.4